[1]
Below is a PBEsol-optimized structure of Na3SnB, with properties calculated at the SCAN level.

Cell lengths 5.0413, 5.0413, 5.0413 Å; angles 90.00, 90.00, 90.00 degrees
Closest atoms and distances in Å follow each position.
Atoms (fractional coordinates):
1 Na 0.0000 0.0000 0.5000  2 B 2.52
2 Na 0.0000 0.5000 0.0000  2 B 2.52
3 Na 0.5000 0.0000 0.0000  2 B 2.52
4 Sn 0.5000 0.5000 0.5000  12 Na 3.56
5 B 0.0000 0.0000 0.0000  6 Na 2.52

ΔH_f (0 K), eV per formula unit: 3.52

[2]
Below is a PBEsol-optimized structure of KYP2O, with properties calculated at the SCAN level.

Cell lengths 5.4636, 5.4636, 4.2987 Å; angles 90.00, 90.00, 90.00 degrees
Closest atoms and distances in Å follow each position.
Atoms (fractional coordinates):
1 K 0.0000 0.0000 0.0000  8 P 3.48, 4 O 3.86
2 Y 0.5000 0.5000 0.5000  2 O 2.15
3 P 0.0000 0.5000 0.5000  2 Y 2.73
4 P 0.5000 0.0000 0.5000  2 Y 2.73
5 O 0.5000 0.5000 0.0000  2 Y 2.15

Energy relative to the elements, uncorrected, eV per formula unit: -3.3
Relative energy among the computed polymorphs, meV per atom: 0.0

Number 1: total moment 0.47 μB per formula unit. Number 2: total moment 2.89 μB per formula unit.